DFT (PBE-GGA) results for a relaxed La8Sm2Dy3 crystal.

For the relative energy among the computed polymorphs, the calculation gives 0 meV per atom.

The structure belongs to space group C2/m (No. 12); the cell edges are 13.6854, 11.8841 and 6.1932 Å and the angles 90.00°, 113.36° and 90.00°. Symmetry generates all atoms from La at (0.0838, 0.0000, 0.2417), La at (0.1382, 0.5000, 0.6132), La at (0.1626, 0.2621, 0.1526), Sm at (0.1876, 0.0000, 0.8278), Dy at (0.0000, 0.2311, 0.5000) and Dy at (0.0000, 0.5000, 0.0000).

DFT (PBE-GGA) results for a relaxed Er2InPd crystal.

For the relative energy among the computed polymorphs, the calculation gives 182 meV per atom.

The structure belongs to space group R-3m (No. 166, hexagonal axes); the cell edges are 3.7422, 3.7422 and 25.6652 Å and the angles 90.00°, 90.00° and 120.00°. Symmetry generates all atoms from Er at (0.0000, 0.0000, 0.2379), In at (0.0000, 0.0000, 0.0000) and Pd at (0.0000, 0.0000, 0.5000).

DFT (PBE-GGA) results for a relaxed As2OsF crystal.

For the relative energy among the computed polymorphs, the calculation gives 0 meV per atom. The formation energy without anion corrections is -0.113 eV/atom.

The structure belongs to space group Fm-3m (No. 225); the cell edges are 6.0996, 6.0996 and 6.0996 Å and the angles 90.00°, 90.00° and 90.00°. Symmetry generates all atoms from As at (0.2500, 0.2500, 0.2500), Os at (0.0000, 0.0000, 0.0000) and F at (0.0000, 0.0000, 0.5000).

DFT (PBE-GGA) results for a relaxed BaScZn2 crystal.

For the relative energy among the computed polymorphs, the calculation gives 0 meV per atom.

The structure belongs to space group P2/m (No. 10); the cell edges are 3.6290, 3.6356 and 7.6377 Å and the angles 90.00°, 90.13° and 90.00°. Symmetry generates all atoms from Ba at (0.0000, 0.0000, 0.0000), Sc at (0.0000, 0.0000, 0.5000) and Zn at (0.4999, 0.5000, 0.3190).

DFT (PBE-GGA) results for a relaxed Be3VBi crystal.

For the relative energy among the computed polymorphs, the calculation gives 0 meV per atom.

The structure belongs to space group Pm-3m (No. 221); the cell edges are 4.4068, 4.4068 and 4.4068 Å and the angles 90.00°, 90.00° and 90.00°. Symmetry generates all atoms from Be at (0.0000, 0.0000, 0.5000), V at (0.0000, 0.0000, 0.0000) and Bi at (0.5000, 0.5000, 0.5000).

DFT (PBE-GGA) results for a relaxed Ga3Pd crystal.

For the relative energy among the computed polymorphs, the calculation gives 148 meV per atom.

The structure belongs to space group I4/mmm (No. 139); the cell edges are 4.0250, 4.0250 and 8.0964 Å and the angles 90.00°, 90.00° and 90.00°. Symmetry generates all atoms from Ga at (0.0000, 0.0000, 0.0000), Ga at (0.0000, 0.5000, 0.2500) and Pd at (0.0000, 0.0000, 0.5000).

DFT (PBE-GGA) results for a relaxed LiSmRhAu crystal.

The calculated total energy comes out at -4.8205 eV per atom.

The structure belongs to space group F-43m (No. 216); the cell edges are 6.7845, 6.7845 and 6.7845 Å and the angles 90.00°, 90.00° and 90.00°. Symmetry generates all atoms from Li at (0.0000, 0.0000, 0.0000), Sm at (0.0000, 0.0000, 0.5000), Rh at (0.2500, 0.2500, 0.2500) and Au at (0.2500, 0.2500, 0.7500).

DFT (PBE-GGA) results for a relaxed Nb3FeNi crystal.

For the relative energy among the computed polymorphs, the calculation gives 0 meV per atom.

The structure belongs to space group Pm-3m (No. 221); the cell edges are 4.5376, 4.5376 and 4.5376 Å and the angles 90.00°, 90.00° and 90.00°. Symmetry generates all atoms from Nb at (0.0000, 0.0000, 0.5000), Fe at (0.0000, 0.0000, 0.0000) and Ni at (0.5000, 0.5000, 0.5000).

no.,density of states at the Fermi level (states/eV/atom)
1,1.62
2,0.72
3,1.02
4,0.57
5,0.95
6,0.38
7,0.49
8,1.38